Computed, not measured: OsN after structural relaxation at the PBE-GGA level of DFT.

Values from the calculation:
- volume (Å³/f.u.) = 21
- uncorrected energy (eV per formula unit) = -16.44
- space-group type = No. 225

CIF file:
```
data_OsN
_space_group_name_H-M_alt 'P 1'
_space_group_IT_number 1
_cell_length_a 3.0781
_cell_length_b 3.0781
_cell_length_c 3.0781
_cell_angle_alpha 60.00
_cell_angle_beta 60.00
_cell_angle_gamma 60.00
loop_
_space_group_symop_operation_xyz
'x,y,z'
loop_
_atom_site_label
_atom_site_fract_x
_atom_site_fract_y
_atom_site_fract_z
N1 0.0000 0.0000 0.0000
Os1 0.5000 0.5000 0.5000
```